Record 1
## LiSmOs (PBE)

Data for an optimized crystal structure of LiSmOs.

Structure (extended XYZ):
```
3
Lattice="-2.624 -0.359 3.421 -4.277 -0.301 -0.577 -2.031 -3.739 0.786" Properties=species:S:1:pos:R:3 pbc="T T T"
Sm -6.699 -3.299 2.722
Li 0.000 0.000 0.000
Os -2.233 -1.100 0.907
```

Values from the calculation:
SG: F-43m (216)
Total moment (Bohr magnetons per cell): 0.03
Crystal system: cubic
ΔE to the lowest computed polymorph (meV per atom): 0

Record 2
## ZnHgPO (PBE)

Data for an optimized crystal structure of ZnHgPO.

Structure (extended XYZ):
```
8
Lattice="-0.910 -1.686 -3.627 0.967 -3.702 1.479 -8.011 -1.087 2.516" Properties=species:S:1:pos:R:3 pbc="T T T"
P -4.813 -2.569 2.403
P -3.170 -1.211 -0.961
Zn -3.978 -3.238 0.184
Zn -4.006 -0.543 1.258
O 0.000 0.000 0.000
O 0.028 -2.694 -1.074
Hg -0.429 -1.975 1.026
Hg -7.554 -1.806 0.416
```

Values from the calculation:
SG: P4/nmm (129)
Crystal system: tetragonal
ΔE to the lowest computed polymorph (meV per atom): 467

Record 3
## HoTm2Ga3AgPd2 (PBE)

Data for an optimized crystal structure of HoTm2Ga3AgPd2.

Structure (extended XYZ):
```
9
Lattice="3.654 0.000 0.000 0.000 6.515 3.754 0.000 -6.515 3.754" Properties=species:S:1:pos:R:3 pbc="T T T"
Tm 0.000 3.866 2.229
Tm 0.000 -3.866 2.229
Pd 1.827 2.187 3.758
Pd 1.827 -2.187 3.758
Ga 1.827 4.740 4.773
Ga 1.827 -4.740 4.773
Ga 1.827 0.000 5.469
Ag 0.000 0.000 7.501
Ho 0.000 0.000 3.054
```

Values from the calculation:
SG: Amm2 (38)
Total moment (Bohr magnetons per cell): 0.02
Crystal system: orthorhombic
Final energy (eV per atom): -4.73